# 1
Computed, not measured: a relaxed structure of AlTe2PtN at the GGA-PBE level of DFT.

Structure (POSCAR):
```
AlTe2PtN
1.0
5.634 0.000 0.000
0.000 5.634 0.000
0.000 0.000 3.682
Al Te Pt N
1 2 1 1
Cartesian
0.000 0.000 0.000
0.000 2.817 1.841
2.817 0.000 1.841
2.817 2.817 1.841
2.817 2.817 0.000
```

Summary:
space-group type	P4/mmm (123)
formation energy (no corrections)	0.465	eV per atom
ΔE to the lowest computed polymorph	39	meV/atom
calculated total energy	-4.4135	eV per atom


# 2
Computed, not measured: a relaxed structure of AlTlPtN2 at the GGA-PBE level of DFT.

Structure (POSCAR):
```
AlTlPtN2
1.0
4.172 0.000 0.000
0.000 4.172 0.000
0.000 0.000 5.585
Al Tl Pt N
1 1 1 2
Cartesian
0.000 0.000 0.000
2.086 2.086 2.792
2.086 2.086 0.000
0.000 2.086 2.792
2.086 0.000 2.792
```

Summary:
space-group type	P4/mmm (123)
formation energy (no corrections)	1.875	eV per atom
calculated total energy	-3.8846	eV per atom


# 3
Computed, not measured: a relaxed structure of PuAlN2 at the GGA-PBE level of DFT.

Structure (POSCAR):
```
PuAlN2
1.0
1.799 1.039 5.723
-1.799 1.039 5.723
0.000 -2.078 5.723
Pu Al N
1 1 2
Cartesian
0.000 0.000 0.000
0.000 0.000 8.585
0.000 0.000 6.783
0.000 0.000 10.387
```

Summary:
space-group type	R-3m (166)
formation energy (no corrections)	-0.757	eV per atom
calculated total energy	-9.4383	eV per atom


# 4
Computed, not measured: a relaxed structure of Pu3Al5N12 at the GGA-PBE level of DFT.

Structure (POSCAR):
```
Pu3Al5N12
1.0
-6.046 6.046 6.046
6.046 -6.046 6.046
6.046 6.046 -6.046
Pu Al N
12 20 48
Cartesian
3.023 1.512 0.000
6.046 3.023 -1.512
1.512 0.000 3.023
7.558 0.000 3.023
0.000 3.023 1.512
3.023 -1.512 6.046
3.023 7.558 0.000
6.046 3.023 4.535
-1.512 6.046 3.023
4.535 6.046 3.023
0.000 3.023 7.558
3.023 4.535 6.046
0.000 0.000 0.000
3.023 3.023 -3.023
3.023 -3.023 3.023
6.046 0.000 0.000
9.069 1.512 0.000
6.046 -3.023 4.535
4.535 6.046 -3.023
4.535 0.000 3.023
3.023 4.535 0.000
6.046 3.023 1.512
-3.023 3.023 3.023
0.000 6.046 0.000
0.000 0.000 6.046
3.023 3.023 3.023
0.000 3.023 4.535
3.023 1.512 6.046
1.512 6.046 3.023
1.512 0.000 9.069
0.000 9.069 1.512
-3.023 4.535 6.046
1.852 -0.271 0.731
7.218 3.754 -3.294
7.898 0.271 0.731
7.218 -2.292 3.294
5.775 -0.731 1.852
9.340 -1.171 2.292
0.731 1.852 -0.271
8.339 2.752 -1.171
3.754 3.294 -1.171
5.315 1.852 0.271
-0.271 0.731 1.852
3.294 -1.171 3.754
5.775 5.315 -1.852
3.294 1.171 2.292
3.754 -3.294 7.218
5.315 -1.852 5.775
2.292 3.294 1.171
6.777 4.195 0.271
3.294 7.218 -2.292
5.775 0.731 4.195
1.852 5.775 -0.731
7.218 2.292 2.752
1.171 2.292 3.294
1.852 0.271 5.315
4.195 5.775 0.731
4.875 3.754 2.752
-1.171 3.754 3.294
4.195 0.271 6.777
0.271 5.315 1.852
2.752 -1.171 8.339
-0.731 1.852 5.775
3.754 2.752 4.875
0.731 7.898 0.271
2.292 9.340 -1.171
2.752 4.875 3.754
0.271 0.731 7.898
2.752 7.218 2.292
6.317 5.315 4.195
0.731 4.195 5.775
2.292 2.752 7.218
-2.292 3.294 7.218
5.315 4.195 6.317
-3.294 7.218 3.754
0.271 6.777 4.195
-1.171 8.339 2.752
-1.852 5.775 5.315
-1.171 2.292 9.340
4.195 6.317 5.315
```

Summary:
space-group type	Ia-3d (230)
formation energy (no corrections)	-0.579	eV per atom
calculated total energy	-8.6600	eV per atom


# 5
Computed, not measured: a relaxed structure of PuAlN2 at the GGA-PBE level of DFT.

Structure (POSCAR):
```
PuAlN2
1.0
5.850 0.000 0.000
0.000 7.069 0.000
0.000 0.000 5.466
Pu Al N
4 4 8
Cartesian
0.603 0.923 0.000
2.322 4.457 2.733
3.528 2.612 0.000
5.247 6.146 2.733
0.451 4.447 0.043
2.474 0.913 2.777
3.376 6.156 0.043
5.399 2.622 2.777
0.241 4.159 1.905
0.582 1.043 2.382
2.343 4.577 5.115
2.684 0.624 4.639
3.166 6.444 1.905
3.507 2.491 2.382
5.268 6.026 5.115
5.610 2.910 4.639
```

Summary:
space-group type	Pna2_1 (33)
formation energy (no corrections)	-1.077	eV per atom
calculated total energy	-9.7583	eV per atom


# 6
Computed, not measured: a relaxed structure of Rb2AlN at the GGA-PBE level of DFT.

Structure (POSCAR):
```
Rb2AlN
1.0
0.000 3.860 3.860
3.860 0.000 3.860
3.860 3.860 0.000
Rb Al N
2 1 1
Cartesian
1.930 1.930 1.930
5.791 5.791 5.791
0.000 0.000 0.000
3.860 3.860 3.860
```

Summary:
space-group type	Fm-3m (225)
formation energy (no corrections)	1.228	eV per atom
ΔE to the lowest computed polymorph	1134	meV/atom
calculated total energy	-2.2726	eV per atom


Number 1: total moment 0.00 Bohr magnetons per cell. Number 2: total moment 2.84 Bohr magnetons per cell. Number 3: total moment 4.38 Bohr magnetons per cell. Number 4: total moment 12.17 Bohr magnetons per cell. Number 5: total moment 20.00 Bohr magnetons per cell. Number 6: total moment 0.00 Bohr magnetons per cell.